VASP calculation (GGA-PBE) on crystalline CsCd3AgAu at its relaxed geometry.

Cell lengths 7.651, 7.651, 7.576 Å; angles 90.00, 90.00, 117.65 degrees
Fractional coordinates of all 12 atoms:
Cs (0.244, 0.756, 0.750)
Cs (0.756, 0.244, 0.250)
Cd (0.245, 0.245, 0.000)
Cd (0.245, 0.245, 0.500)
Cd (0.258, 0.742, 0.250)
Cd (0.742, 0.258, 0.750)
Cd (0.755, 0.755, 0.000)
Cd (0.755, 0.755, 0.500)
Ag (0.466, 0.534, 0.250)
Ag (0.534, 0.466, 0.750)
Au (0.050, 0.950, 0.250)
Au (0.950, 0.050, 0.750)

Computed properties:
As for the total magnetic moment: 0.0 Bohr magnetons per cell. The volume comes out at 393 Å³ per cell. As for the space group: No. 63. The calculated formation energy comes out at -0.05 eV/atom. The value obtained for the total energy is -20.073 eV for the cell shown. Its density of states at the Fermi level is 0.3529 states/eV/atom. The mass density comes out at 6.552 g/cm3.